# NpCrFe2O6

An optimized crystal structure of NpCrFe2O6 (PBE+U, Alexandria).

Geometry as CIF:
```
data_NpCrFe2O6
_symmetry_space_group_name_H-M 'P 1'
_symmetry_Int_Tables_number 1
_cell_length_a 5.356
_cell_length_b 5.367
_cell_length_c 5.678
_cell_angle_alpha 62.20
_cell_angle_beta 62.78
_cell_angle_gamma 60.25
loop_
_symmetry_equiv_pos_as_xyz
'x,y,z'
loop_
_atom_site_label
_atom_site_fract_x
_atom_site_fract_y
_atom_site_fract_z
Np1 0.000 0.000 0.000
Cr1 0.503 0.499 0.496
Fe1 0.203 0.202 0.391
Fe2 0.708 0.690 0.885
O1 0.127 0.390 0.707
O2 0.282 0.884 0.232
O3 0.403 0.766 0.716
O4 0.600 0.288 0.226
O5 0.778 0.116 0.712
O6 0.879 0.602 0.217
```

total magnetization: 13.00 μB/cell
uncorrected energy: -0.6007 Ry per atom
theoretical density: 6.9 Mg/m³
DOS at the Fermi energy: 6.6 states/eV/cell